Below is a geometry-optimized TaVInO6 structure, with properties calculated at the PBE+U level.

Values from the calculation:
Calculated total energy   -71.13 eV/f.u.
Volume   11.94 Å³ per atom
Magnetization   1.00 μB/f.u.
Symmetry   P-31c

Cell: 5.157 5.157 9.337 Å, 90.00 90.00 120.00°
Fractional positions:
Ta  0.333  0.667  0.250
Ta  0.667  0.333  0.750
V  0.333  0.667  0.750
V  0.667  0.333  0.250
In  0.000  0.000  0.000
In  0.000  0.000  0.500
O  0.005  0.357  0.635
O  0.005  0.648  0.865
O  0.352  0.357  0.865
O  0.352  0.995  0.635
O  0.357  0.005  0.135
O  0.357  0.352  0.365
O  0.643  0.648  0.635
O  0.643  0.995  0.865
O  0.648  0.005  0.365
O  0.648  0.643  0.135
O  0.995  0.352  0.135
O  0.995  0.643  0.365